The following is a DFT calculation (PBE) of crystalline Rb2BaCl at its relaxed geometry.

Properties
Symmetry: Fm-3m (225)
V: 254 Å³/f.u.
DFT total energy: -6.84 eV per cell
Offset from the most stable computed form: 541 meV per atom
Energy relative to the elements, uncorrected: -0.2844 eV per atom
Magnetic moment: 0.8 μB/cell

The structure in extended XYZ format:
```
4
Lattice="0.000 5.028 5.028 5.028 0.000 5.028 5.028 5.028 0.000" Properties=species:S:1:pos:R:3 pbc="T T T"
Ba 5.028 5.028 5.028
Rb 7.542 7.542 7.542
Rb 2.514 2.514 2.514
Cl 0.000 0.000 0.000
```